Compound: Rb2ScCoO4
Source: Alexandria
Functional: PBE with a Hubbard U
Structure: relaxed

Cell: 5.3803 12.4312 21.2833 Å, 90.00 90.00 90.00°
Space group Fddd (No. 70, origin choice 2)
Asymmetric unit:
Rb1 0.1250 0.1250 0.3053
Sc1 0.1250 0.1250 0.1250
Co1 0.1250 0.1250 0.6250
O1 0.1142 0.2885 0.8334

## Properties
The value obtained for the total energy is -378.06 eV per cell.



Compound: SrCoF
Source: Alexandria
Functional: PBE with a Hubbard U
Structure: relaxed

Cell: 6.9545 4.0270 8.9630 Å, 90.00 105.05 90.00°
Space group Cm (No. 8)
Asymmetric unit:
Sr1 0.0000 0.0000 0.0000
Sr2 0.1918 0.0000 0.5731
Co1 0.2679 0.5000 0.3018
Co2 0.4277 0.0000 0.2825
F1 0.1331 0.5000 0.9012
F2 0.3985 0.5000 0.6946

## Properties
The energy relative to the lowest polymorph listed for this composition is 0.045 eV per atom. The value obtained for the total energy is -52.87 eV per cell. The density of states at the Fermi level is 3.181 states/eV per cell.



- Which formula does entry 1 have?
  Rb2ScCoO4